1.
! Pu2AlGa4Pd3 | Alexandria | PBE | optimized geometry; values from VASP
&SYSTEM
  ibrav = 0, nat = 10, ntyp = 4
/
ATOMIC_SPECIES
Pu 244.00 Pu.upf
Al 26.98 Al.upf
Ga 69.72 Ga.upf
Pd 106.42 Pd.upf
ATOMIC_POSITIONS angstrom
Pu 2.034 0.000 2.843
Pu 0.000 2.034 8.668
Al 2.034 2.034 5.755
Ga 2.034 2.034 0.000
Ga 0.000 0.000 0.000
Ga 2.034 0.000 7.376
Ga 0.000 2.034 4.134
Pd 0.000 0.000 5.755
Pd 2.034 0.000 9.900
Pd 0.000 2.034 1.610
CELL_PARAMETERS angstrom
4.067 0.000 0.000
0.000 4.067 0.000
0.000 0.000 11.510
! Calculated formation energy   -52.1 kJ/mol of atoms

2.
! Be2NbCu2 | Alexandria | PBE | optimized geometry; values from VASP
&SYSTEM
  ibrav = 0, nat = 5, ntyp = 3
/
ATOMIC_SPECIES
Be 9.01 Be.upf
Nb 92.91 Nb.upf
Cu 63.55 Cu.upf
ATOMIC_POSITIONS angstrom
Be -1.981 -0.687 -1.618
Be -5.467 -0.289 -3.008
Nb 0.000 0.000 0.000
Cu -3.296 0.284 -3.165
Cu -4.152 -1.260 -1.462
CELL_PARAMETERS angstrom
-0.322 0.278 -3.443
-2.032 -2.811 -0.037
-5.094 1.557 -1.146
! Calculated formation energy   -2.7 kJ/mol of atoms
! Polymorph energy (0 for the lowest one)   0.000 eV/f.u.

3.
! AcSmZnCd | Alexandria | PBE | optimized geometry; values from VASP
&SYSTEM
  ibrav = 0, nat = 4, ntyp = 4
/
ATOMIC_SPECIES
Ac 227.00 Ac.upf
Sm 150.36 Sm.upf
Zn 65.41 Zn.upf
Cd 112.41 Cd.upf
ATOMIC_POSITIONS angstrom
Ac 1.913 1.913 0.967
Sm 1.913 1.913 4.613
Zn 0.000 0.000 3.026
Cd 0.000 0.000 6.505
CELL_PARAMETERS angstrom
3.827 0.000 0.000
0.000 3.827 0.000
0.000 0.000 7.838
! Calculated formation energy   -27.4 kJ/mol of atoms
! Polymorph energy (0 for the lowest one)   0.000 eV/f.u.

4.
! YTlCl2 | Alexandria | PBE | optimized geometry; values from VASP
&SYSTEM
  ibrav = 0, nat = 4, ntyp = 3
/
ATOMIC_SPECIES
Y 88.91 Y.upf
Tl 204.38 Tl.upf
Cl 35.45 Cl.upf
ATOMIC_POSITIONS angstrom
Y -0.301 3.657 1.559
Tl 3.574 0.830 1.559
Cl 0.000 0.000 0.000
Cl 2.063 2.828 -0.002
CELL_PARAMETERS angstrom
5.938 0.002 -0.002
-1.811 5.655 -0.002
1.210 1.659 3.120
! Polymorph energy (0 for the lowest one)   1.258 eV/f.u.

5.
! Ce4ThO10 | Alexandria | PBE | optimized geometry; values from VASP
&SYSTEM
  ibrav = 0, nat = 15, ntyp = 3
/
ATOMIC_SPECIES
Ce 140.12 Ce.upf
Th 232.04 Th.upf
O 16.00 O.upf
ATOMIC_POSITIONS angstrom
Ce 3.996 4.906 4.506
Ce 5.494 3.683 7.864
Ce 1.995 2.462 2.260
Ce 3.493 1.239 5.618
Th 0.000 0.000 0.000
O 2.492 3.072 4.497
O 3.978 1.861 7.851
O 0.498 0.627 2.267
O 4.510 5.518 6.737
O 5.991 4.284 3.393
O 3.511 4.284 2.273
O 4.997 3.072 5.627
O 1.498 1.861 6.731
O 2.979 0.627 3.387
O 6.991 5.518 7.857
CELL_PARAMETERS angstrom
5.009 0.000 2.262
2.504 6.145 1.131
-0.024 0.000 6.731
! Energy   -0.65618 Ry/atom

6.
! TlFeTe2 | Alexandria | PBE | optimized geometry; values from VASP
&SYSTEM
  ibrav = 0, nat = 4, ntyp = 3
/
ATOMIC_SPECIES
Fe 55.84 Fe.upf
Te 127.60 Te.upf
Tl 204.38 Tl.upf
ATOMIC_POSITIONS angstrom
Fe -1.425 3.245 2.559
Te -4.091 9.491 8.226
Te -3.236 8.614 12.112
Tl -2.532 6.473 8.121
CELL_PARAMETERS angstrom
-0.794 6.019 3.915
-3.813 4.448 4.225
0.157 1.104 7.111
! Energy   -0.31013 Ry/atom

7.
! Ac2Zn6NiRu | Alexandria | PBE | optimized geometry; values from VASP
&SYSTEM
  ibrav = 0, nat = 10, ntyp = 4
/
ATOMIC_SPECIES
Ac 227.00 Ac.upf
Zn 65.41 Zn.upf
Ni 58.69 Ni.upf
Ru 101.07 Ru.upf
ATOMIC_POSITIONS angstrom
Ac 6.739 3.372 2.387
Ac 3.372 6.739 2.388
Zn 3.371 3.371 2.323
Zn 5.009 5.010 0.005
Zn 1.731 5.009 0.003
Zn 8.379 5.102 4.772
Zn 5.101 5.101 4.770
Zn 6.740 6.740 2.452
Ni 3.369 3.369 0.003
Ru 0.000 0.000 0.000
CELL_PARAMETERS angstrom
6.735 0.003 0.003
0.003 6.736 0.003
3.372 3.372 4.769
! Calculated formation energy   -20.4 kJ/mol of atoms

8.
! BaNi2Br | Alexandria | PBE | optimized geometry; values from VASP
&SYSTEM
  ibrav = 0, nat = 4, ntyp = 3
/
ATOMIC_SPECIES
Ba 137.33 Ba.upf
Br 79.90 Br.upf
Ni 58.69 Ni.upf
ATOMIC_POSITIONS angstrom
Ba 0.000 0.000 3.671
Br 1.770 1.779 5.685
Ni 0.000 0.000 0.828
Ni 1.770 1.779 1.246
CELL_PARAMETERS angstrom
3.548 0.009 0.000
-0.009 3.548 0.000
0.000 0.000 7.620
! Polymorph energy (0 for the lowest one)   0.453 eV/f.u.